## ScPW2 (PBE)

Data for a geometry-optimized ScPW2 structure.

Structure (extended XYZ):
```
4
Lattice="0.0036 1.6528 2.3766 -2.7161 -0.4116 -0.9129 -0.5587 -6.7925 4.7245" Properties=species:S:1:pos:R:3 pbc="T T T"
W -0.5525 -6.7169 4.6720
W -1.7644 -4.3414 4.1832
P -0.2839 -3.4509 2.4003
Sc -1.5086 -1.2306 2.0195
```

Calculated values
As for the total DFT energy (no corrections): -9.445 eV/atom. Its calculated formation energy is -0.03 eV per atom. The calculation puts the theoretical density at 11.28 Mg/m³.